1.
Material: CaFeTe2
Method: DFT, PBE
State: optimized geometry

Results
D(E_F) in states/eV per cell: 0.37
Density in Mg/m³: 6.126
E_form (uncorrected) in meV/atom: -488

Unit cell a=4.077 b=4.077 c=7.019 alpha=73.13 beta=73.13 gamma=59.98
Fractional positions:
Ca 0.750 0.750 0.750
Te 0.521 0.521 0.437
Fe 0.250 0.250 0.250
Te 0.979 0.979 0.063


2.
Material: LaThTe2
Method: DFT, PBE
State: optimized geometry

Results
D(E_F) in states/eV per cell: 6.80
ΔE to the lowest computed polymorph in kJ per mole of atoms: 17.0
Density in Mg/m³: 7.592
E_form (uncorrected) in meV/atom: -1121

Unit cell a=4.250 b=7.879 c=9.245 alpha=94.48 beta=62.66 gamma=90.00
Fractional positions:
Te 0.894 0.492 0.666
Th 0.395 0.940 0.164
Te 0.008 0.023 0.551
Te 0.057 0.177 0.002
Te 0.762 0.667 0.297
La 0.638 0.285 0.421
La 0.338 0.795 0.721
Th 0.516 0.487 0.043


> What is the formula in the second record?

LaThTe2


> Among the records above, which one has the lowest E_form (uncorrected)?

LaThTe2


> Number 2 is which compound?

LaThTe2